Crystalline Ce3SmRh3 at its relaxed geometry, computed with PBE.

Summary:
Crystal system: monoclinic
Total moment (μB/f.u.): 0.82

Lattice parameters (Å, degrees): 9.004 10.444 7.008 90.00 90.25 90.00
Space group C2/m (No. 12)
Unique sites:
Ce 0.000 0.186 0.000 [4 per cell]
Ce 0.000 0.248 0.500 [4 per cell]
Ce 0.139 0.500 0.891 [4 per cell]
Sm 0.245 0.500 0.377 [4 per cell]
Rh 0.062 0.000 0.285 [4 per cell]
Rh 0.240 0.275 0.733 [8 per cell]

Crystalline CeSm2Rh2 at its relaxed geometry, computed with PBE.

Summary:
Crystal system: orthorhombic
Polymorph energy (0 for the lowest one) (kcal/mol of atoms): 3.07
Total moment (μB/f.u.): 0.64

Lattice parameters (Å, degrees): 7.819 10.645 6.263 90.00 90.00 90.00
Space group Ibam (No. 72)
Unique sites:
Ce 0.000 0.000 0.250 [4 per cell]
Sm 0.132 0.338 0.000 [8 per cell]
Rh 0.235 0.407 0.500 [8 per cell]

Number 1: VASP energy -0.256 Ha/atom, calculated volume 23.5 Å³ per atom. Number 2: VASP energy -0.240 Ha/atom, calculated volume 26.1 Å³ per atom.